Entry 1:
Density functional theory data (PBE) for a geometry-optimized Na2ZnCd2 structure.

abc: 8.9142 8.9142 3.4549
angles: 90.00 90.00 90.00
With the nearest neighbours (Å) after each atom.
Atoms (fractional coordinates):
Na 0.3209 0.8209 0.0000  6 Cd 3.08-3.21, 2 Zn 3.28
Na 0.8209 0.6791 0.0000  6 Cd 3.08-3.21, 2 Zn 3.28
Na 0.6791 0.1791 0.0000  6 Cd 3.08-3.21, 2 Zn 3.28
Na 0.1791 0.3209 0.0000  6 Cd 3.08-3.21, 2 Zn 3.28
Zn 0.0000 0.0000 0.0000  4 Na 3.28, 2 Zn 3.45
Zn 0.5000 0.5000 0.0000  4 Na 3.28, 2 Zn 3.45
Cd 0.1185 0.6185 0.5000  1 Cd 2.99, 6 Na 3.08-3.21
Cd 0.6185 0.8815 0.5000  1 Cd 2.99, 6 Na 3.08-3.21
Cd 0.8815 0.3815 0.5000  1 Cd 2.99, 6 Na 3.08-3.21
Cd 0.3815 0.1185 0.5000  1 Cd 2.99, 6 Na 3.08-3.21

Summary:
As for the polymorph energy (0 for the lowest one): 141 meV/atom. The formation energy from the elements comes out at 130.2 meV/atom.

---

Entry 2:
Density functional theory data (PBE) for a geometry-optimized TaFePd6 structure.

abc: 5.2197 5.2197 5.2197
angles: 88.96 88.96 88.96
With the nearest neighbours (Å) after each atom.
Atoms (fractional coordinates):
Ta 0.0000 0.0000 0.0000  6 Pd 2.65
Fe 0.5000 0.5000 0.5000  6 Pd 2.45
Pd 0.1713 0.5483 0.1713  1 Fe 2.45, 3 Pd 2.61-2.71, 1 Ta 2.65
Pd 0.1713 0.1713 0.5483  1 Fe 2.45, 3 Pd 2.61-2.71, 1 Ta 2.65
Pd 0.8287 0.4517 0.8287  1 Fe 2.45, 3 Pd 2.61-2.71, 1 Ta 2.65
Pd 0.4517 0.8287 0.8287  1 Fe 2.45, 3 Pd 2.61-2.71, 1 Ta 2.65
Pd 0.8287 0.8287 0.4517  1 Fe 2.45, 3 Pd 2.61-2.71, 1 Ta 2.65
Pd 0.5483 0.1713 0.1713  1 Fe 2.45, 3 Pd 2.61-2.71, 1 Ta 2.65

Summary:
As for the polymorph energy (0 for the lowest one): 595 meV/atom. The formation energy from the elements comes out at 286.5 meV/atom.

---

no.,uncorrected energy (eV per atom),total moment (μB/f.u.)
1,-1.02,0.00
2,-6.15,3.76